Computed, not measured: crystalline Al3Si at its relaxed geometry at the PBE-GGA level of DFT.

## Properties
formation energy without anion corrections = 0.19 eV/atom
space group = Pm-3n (223)
DFT total energy = -0.292 Ry/atom
volume = 131 Å³ per cell
crystal system = cubic

a = 5.0780 Å, b = 5.0780 Å, c = 5.0780 Å
α = 90.00°, β = 90.00°, γ = 90.00°
Element x y z (fractional)
Si1 0.0000 0.0000 0.0000
Al1 0.2500 0.5000 0.0000
Al2 0.0000 0.2500 0.5000
Al3 0.5000 0.0000 0.2500
Al4 0.7500 0.5000 0.0000
Al5 0.0000 0.7500 0.5000
Al6 0.5000 0.0000 0.7500
Si2 0.5000 0.5000 0.5000

Computed, not measured: crystalline Al3Si2 at its relaxed geometry at the PBE-GGA level of DFT.

## Properties
formation energy without anion corrections = 0.17 eV/atom
space group = Fdd2 (43)
DFT total energy = -0.312 Ry/atom
volume = 162 Å³ per cell
crystal system = orthorhombic

a = 8.4294 Å, b = 6.8546 Å, c = 5.8974 Å
α = 82.39°, β = 53.71°, γ = 43.90°
Element x y z (fractional)
Si1 0.1763 0.9073 0.3842
Al1 0.8142 0.4853 0.8200
Si2 0.8658 0.7179 0.0737
Al2 0.7647 0.4358 0.3695
Al3 0.0969 0.9031 0.9031
Si3 0.5321 0.3842 0.9073
Al4 0.3469 0.1531 0.1531
Al5 0.4300 0.3695 0.4358
Si4 0.3427 0.0737 0.7179
Al6 0.8805 0.8200 0.4853

Computed, not measured: crystalline AlSi at its relaxed geometry at the PBE-GGA level of DFT.

## Properties
formation energy without anion corrections = 0.56 eV/atom
space group = Pm-3n (223)
DFT total energy = -0.296 Ry/atom
volume = 350 Å³ per cell
crystal system = cubic

a = 7.0500 Å, b = 7.0500 Å, c = 7.0500 Å
α = 90.00°, β = 90.00°, γ = 90.00°
Element x y z (fractional)
Si1 0.0000 0.2500 0.5000
Si2 0.5000 0.0000 0.7500
Al1 0.5000 0.2500 0.0000
Al2 0.0000 0.5000 0.7500
Al3 0.0000 0.5000 0.2500
Si3 0.5000 0.0000 0.2500
Si4 0.0000 0.7500 0.5000
Al4 0.2500 0.0000 0.5000
Si5 0.2500 0.5000 0.0000
Si6 0.7500 0.5000 0.0000
Al5 0.7500 0.0000 0.5000
Al6 0.5000 0.7500 0.0000

Computed, not measured: crystalline AlSi3 at its relaxed geometry at the PBE-GGA level of DFT.

## Properties
formation energy without anion corrections = 0.37 eV/atom
space group = P6_3/mmc (194)
DFT total energy = -0.341 Ry/atom
volume = 237 Å³ per cell
crystal system = hexagonal
offset from the most stable computed form = 11.2 kJ/mol of atoms

a = 5.4545 Å, b = 5.4545 Å, c = 9.2015 Å
α = 90.00°, β = 90.00°, γ = 120.00°
Element x y z (fractional)
Al1 0.3333 0.6667 0.2500
Si1 0.5000 0.5000 0.5000
Si2 0.0000 0.5000 0.0000
Si3 0.3402 0.1701 0.2500
Si4 0.1701 0.3402 0.7500
Si5 0.5000 0.0000 0.0000
Si6 0.8299 0.1701 0.2500
Al2 0.0000 0.0000 0.5000
Si7 0.5000 0.0000 0.5000
Al3 0.6667 0.3333 0.7500
Al4 0.0000 0.0000 0.0000
Si8 0.5000 0.5000 0.0000
Si9 0.1701 0.8299 0.7500
Si10 0.0000 0.5000 0.5000
Si11 0.6598 0.8299 0.7500
Si12 0.8299 0.6598 0.2500

Computed, not measured: crystalline Al3Si at its relaxed geometry at the PBE-GGA level of DFT.

## Properties
formation energy without anion corrections = 0.11 eV/atom
space group = P4/mmm (123)
DFT total energy = -0.298 Ry/atom
volume = 64 Å³ per cell
crystal system = tetragonal

a = 2.8153 Å, b = 2.8153 Å, c = 8.0347 Å
α = 90.00°, β = 90.00°, γ = 90.00°
Element x y z (fractional)
Al1 0.5000 0.5000 0.7500
Al2 0.0000 0.0000 0.4889
Al3 0.0000 0.0000 0.0111
Si1 0.5000 0.5000 0.2500

Computed, not measured: crystalline Al3Si at its relaxed geometry at the PBE-GGA level of DFT.

## Properties
formation energy without anion corrections = 0.12 eV/atom
space group = Pmm2 (25)
DFT total energy = -0.297 Ry/atom
volume = 64 Å³ per cell
crystal system = orthorhombic

a = 2.8949 Å, b = 4.5895 Å, c = 4.8116 Å
α = 90.00°, β = 90.00°, γ = 90.00°
Element x y z (fractional)
Al1 0.0000 0.0000 0.0036
Al2 0.5000 0.0000 0.4942
Al3 0.5000 0.5000 0.8359
Si1 0.0000 0.5000 0.3330

Computed, not measured: crystalline AlSi5 at its relaxed geometry at the PBE-GGA level of DFT.

## Properties
formation energy without anion corrections = 0.39 eV/atom
space group = Cmmm (65)
DFT total energy = -0.349 Ry/atom
volume = 89 Å³ per cell
crystal system = orthorhombic
offset from the most stable computed form = 1.1 kJ/mol of atoms

a = 6.2314 Å, b = 6.2314 Å, c = 3.5833 Å
α = 90.00°, β = 90.00°, γ = 140.25°
Element x y z (fractional)
Si1 0.3187 0.6813 0.5000
Al1 0.5000 0.5000 0.0000
Si2 0.8417 0.1583 0.0000
Si3 0.1583 0.8417 0.0000
Si4 0.0000 0.0000 0.5000
Si5 0.6813 0.3187 0.5000

Computed, not measured: crystalline Al3Si at its relaxed geometry at the PBE-GGA level of DFT.

## Properties
formation energy without anion corrections = 0.10 eV/atom
space group = I4/mmm (139)
DFT total energy = -0.298 Ry/atom
volume = 63 Å³ per cell
crystal system = tetragonal

a = 4.9194 Å, b = 4.9194 Å, c = 4.9194 Å
α = 132.51°, β = 132.51°, γ = 69.43°
Element x y z (fractional)
Si1 0.0000 0.0000 0.0000
Al1 0.2500 0.7500 0.5000
Al2 0.7500 0.2500 0.5000
Al3 0.5000 0.5000 0.0000

Computed, not measured: crystalline AlSi8 at its relaxed geometry at the PBE-GGA level of DFT.

## Properties
formation energy without anion corrections = 0.44 eV/atom
space group = I4/mmm (139)
DFT total energy = -0.353 Ry/atom
volume = 131 Å³ per cell
crystal system = tetragonal

a = 6.1493 Å, b = 6.1493 Å, c = 6.1493 Å
α = 95.60°, β = 95.60°, γ = 143.59°
Element x y z (fractional)
Si1 0.6645 0.0000 0.6645
Si2 0.0000 0.3355 0.3355
Si3 0.3324 0.6676 0.0000
Si4 0.0000 0.6645 0.6645
Si5 0.3324 0.3324 0.6648
Si6 0.3355 0.0000 0.3355
Si7 0.6676 0.3324 0.0000
Al1 0.0000 0.0000 0.0000
Si8 0.6676 0.6676 0.3352

Computed, not measured: crystalline AlSi3 at its relaxed geometry at the PBE-GGA level of DFT.

## Properties
formation energy without anion corrections = 0.43 eV/atom
space group = Pm-3n (223)
DFT total energy = -0.336 Ry/atom
volume = 123 Å³ per cell
crystal system = cubic
offset from the most stable computed form = 16.5 kJ/mol of atoms

a = 4.9690 Å, b = 4.9690 Å, c = 4.9690 Å
α = 90.00°, β = 90.00°, γ = 90.00°
Element x y z (fractional)
Si1 0.5000 0.0000 0.2500
Si2 0.5000 0.0000 0.7500
Si3 0.0000 0.7500 0.5000
Al1 0.0000 0.0000 0.0000
Si4 0.7500 0.5000 0.0000
Si5 0.0000 0.2500 0.5000
Al2 0.5000 0.5000 0.5000
Si6 0.2500 0.5000 0.0000

Computed, not measured: crystalline AlSi at its relaxed geometry at the PBE-GGA level of DFT.

## Properties
formation energy without anion corrections = 0.37 eV/atom
space group = P6_3mc (186)
DFT total energy = -0.309 Ry/atom
volume = 88 Å³ per cell
crystal system = hexagonal

a = 3.7008 Å, b = 3.7008 Å, c = 7.4493 Å
α = 90.00°, β = 90.00°, γ = 120.00°
Element x y z (fractional)
Al1 0.3333 0.6667 0.0214
Si1 0.3333 0.6667 0.3496
Si2 0.6667 0.3333 0.8496
Al2 0.6667 0.3333 0.5214

Computed, not measured: crystalline AlSi3 at its relaxed geometry at the PBE-GGA level of DFT.

## Properties
formation energy without anion corrections = 1.27 eV/atom
space group = Pm-3m (221)
DFT total energy = -0.274 Ry/atom
volume = 110 Å³ per cell
crystal system = cubic
offset from the most stable computed form = 98.1 kJ/mol of atoms

a = 4.7875 Å, b = 4.7875 Å, c = 4.7875 Å
α = 90.00°, β = 90.00°, γ = 90.00°
Element x y z (fractional)
Si1 0.5000 0.0000 0.0000
Si2 0.0000 0.5000 0.0000
Si3 0.0000 0.0000 0.5000
Al1 0.0000 0.0000 0.0000